Material: CePmGe2
Method: DFT, PBE
State: optimized geometry

```
CePmGe2
1.0
4.265 0.000 0.000
2.133 3.694 0.000
2.133 1.231 6.903
Pm Ge Ce
1 2 1
direct
0.000 0.000 0.000 Pm
0.247 0.247 0.259 Ge
0.753 0.753 0.741 Ge
0.500 0.500 0.500 Ce
```

Calculated values
For the total magnetic moment, the calculation gives 0.0 Bohr magnetons per cell. The value obtained for the energy of formation from the pure elements is -253 kJ/mol of formula units.